1.
# SrSb2CN

SrSb2CN at its PBEsol-relaxed geometry (meta-GGA SCAN, Alexandria).

```
5
Lattice="4.613 0.000 0.000 0.000 4.613 0.000 0.000 0.000 4.618" Properties=species:S:1:pos:R:3 pbc="T T T"
Sr 0.000 0.000 0.000
Sb 0.000 2.307 2.309
Sb 2.307 0.000 2.309
C 2.307 2.307 0.000
N 2.307 2.307 2.309
```

Results
SG: P4/mmm, No. 123
ΔE_f (raw), kJ/mol of atoms: 125

2.
# Na2SrTl

Na2SrTl at its PBEsol-relaxed geometry (meta-GGA SCAN, Alexandria).

```
4
Lattice="0.000 3.931 3.931 3.931 0.000 3.931 3.931 3.931 0.000" Properties=species:S:1:pos:R:3 pbc="T T T"
Na 1.966 1.966 1.966
Na 5.897 5.897 5.897
Sr 0.000 0.000 0.000
Tl 3.931 3.931 3.931
```

Results
E_form, eV per atom: -0.173
SG: Fm-3m, No. 225

3.
# Cr2MoW

Cr2MoW at its PBEsol-relaxed geometry (meta-GGA SCAN, Alexandria).

```
4
Lattice="-1.498 2.112 4.240 1.498 -2.112 4.240 1.498 2.112 -4.240" Properties=species:S:1:pos:R:3 pbc="T T T"
Cr 0.000 0.000 0.000
Cr 0.000 2.112 2.160
Mo 1.498 0.000 2.107
W 0.000 0.000 4.283
```

Results
E_form, eV per atom: 0.072
SG: Imm2, No. 44

4.
# RhPbCl

RhPbCl at its PBEsol-relaxed geometry (meta-GGA SCAN, Alexandria).

```
3
Lattice="0.000 3.178 3.178 3.178 0.000 3.178 3.178 3.178 0.000" Properties=species:S:1:pos:R:3 pbc="T T T"
Rh 0.000 0.000 0.000
Pb 3.178 3.178 3.178
Cl 1.589 1.589 1.589
```

Results
SG: F-43m, No. 216
ΔE_f (raw), kJ/mol of atoms: 64
ΔE to the lowest computed polymorph, eV/f.u.: 2.35

5.
# CoW2Cl

CoW2Cl at its PBEsol-relaxed geometry (meta-GGA SCAN, Alexandria).

```
4
Lattice="4.381 0.000 0.000 0.000 2.729 0.000 -1.832 0.000 4.689" Properties=species:S:1:pos:R:3 pbc="T T T"
Co 0.000 0.000 0.000
W -0.916 0.000 2.344
W 2.190 1.364 0.000
Cl 1.274 1.364 2.344
```

Results
SG: P2/m, No. 10
ΔE_f (raw), kJ/mol of atoms: 102
ΔE to the lowest computed polymorph, eV/f.u.: 1.90

6.
# TlReSbSe2

TlReSbSe2 at its PBEsol-relaxed geometry (meta-GGA SCAN, Alexandria).

```
5
Lattice="4.774 0.000 0.000 0.000 4.774 0.000 0.000 0.000 5.508" Properties=species:S:1:pos:R:3 pbc="T T T"
Tl 0.000 0.000 0.000
Re 2.387 2.387 2.754
Sb 2.387 2.387 0.000
Se 0.000 2.387 2.754
Se 2.387 0.000 2.754
```

Results
SG: P4/mmm, No. 123
ΔE_f (raw), kJ/mol of atoms: 37

7.
# TcNiP2

TcNiP2 at its PBEsol-relaxed geometry (meta-GGA SCAN, Alexandria).

```
4
Lattice="2.951 0.000 0.000 0.000 2.951 0.000 0.000 0.000 5.442" Properties=species:S:1:pos:R:3 pbc="T T T"
Tc 0.000 0.000 0.000
Ni 0.000 0.000 2.721
P 1.476 1.476 1.406
P 1.476 1.476 4.036
```

Results
E_form, eV per atom: -0.181
SG: P4/mmm, No. 123
ΔE to the lowest computed polymorph, eV/f.u.: 0.66

8.
# TeIr2Cl

TeIr2Cl at its PBEsol-relaxed geometry (meta-GGA SCAN, Alexandria).

```
4
Lattice="4.325 0.000 0.000 0.000 4.325 0.000 0.000 0.000 3.554" Properties=species:S:1:pos:R:3 pbc="T T T"
Te 0.000 0.000 0.000
Ir 0.000 2.163 1.777
Ir 2.163 0.000 1.777
Cl 2.163 2.163 0.000
```

Results
SG: P4/mmm, No. 123
ΔE_f (raw), kJ/mol of atoms: 101
ΔE to the lowest computed polymorph, eV/f.u.: 2.38

9.
# CrReAu2

CrReAu2 at its PBEsol-relaxed geometry (meta-GGA SCAN, Alexandria).

```
4
Lattice="2.839 0.000 0.000 0.000 2.839 0.000 0.000 0.000 7.555" Properties=species:S:1:pos:R:3 pbc="T T T"
Cr 0.000 0.000 0.000
Re 1.419 1.419 1.420
Au 0.000 0.000 3.517
Au 1.419 1.419 5.627
```

Results
E_form, eV per atom: 0.220
SG: P4mm, No. 99
ΔE to the lowest computed polymorph, eV/f.u.: 0.00

10.
# KV3Cd4O12

KV3Cd4O12 at its PBEsol-relaxed geometry (meta-GGA SCAN, Alexandria).

```
40
Lattice="6.462 -6.744 0.000 6.462 6.744 0.000 -3.009 0.000 6.396" Properties=species:S:1:pos:R:3 pbc="T T T"
K 4.957 6.278 3.198
K 6.462 -6.278 0.000
V 0.396 1.465 5.672
V 4.960 2.728 3.199
V 1.901 -1.465 2.474
V 9.577 1.516 0.712
V 6.465 -2.728 0.001
V 8.073 -1.516 3.910
Cd 1.677 2.175 2.529
Cd 6.479 3.160 0.042
Cd 0.172 -2.175 5.727
Cd 3.830 0.079 5.038
Cd 5.335 -0.079 1.840
Cd 8.268 2.130 3.834
Cd 4.975 -3.160 3.241
Cd 9.773 -2.130 0.636
O 1.848 4.416 5.424
O 2.617 2.391 0.460
O 1.096 0.016 2.392
O -0.408 -0.016 5.590
O 5.063 3.701 1.789
O 4.882 3.705 4.599
O 3.656 1.577 3.321
O 2.100 1.215 6.151
O 8.111 4.492 0.966
O 1.113 -2.391 3.658
O 3.605 -1.215 2.953
O 6.267 1.614 3.065
O 7.903 1.366 0.231
O 5.161 -1.577 0.123
O 7.416 2.421 5.933
O 3.353 -4.416 2.225
O 4.762 -1.614 6.263
O 6.399 -1.366 3.430
O 3.559 -3.701 4.988
O 6.386 -3.705 1.401
O 10.347 0.012 0.819
O 8.842 -0.012 4.018
O 8.921 -2.421 2.735
O 6.607 -4.492 4.164
```

Results
SG: Cc, No. 9
ΔE_f (raw), kJ/mol of atoms: -203

11.
# IrOsSe

IrOsSe at its PBEsol-relaxed geometry (meta-GGA SCAN, Alexandria).

```
3
Lattice="0.000 2.393 7.019 1.368 0.000 7.019 1.368 2.393 0.000" Properties=species:S:1:pos:R:3 pbc="T T T"
Ir 0.000 0.000 0.000
Os 1.368 2.393 9.235
Se 1.368 2.393 4.543
```

Results
SG: Fmm2, No. 42
ΔE_f (raw), kJ/mol of atoms: 82
ΔE to the lowest computed polymorph, eV/f.u.: 0.65

12.
# Zn2Pt2Au

Zn2Pt2Au at its PBEsol-relaxed geometry (meta-GGA SCAN, Alexandria).

```
10
Lattice="7.329 0.000 0.000 0.000 7.329 0.000 0.000 0.000 2.819" Properties=species:S:1:pos:R:3 pbc="T T T"
Zn 1.178 2.487 0.000
Zn 2.487 6.152 0.000
Zn 4.843 1.178 0.000
Zn 6.152 4.843 0.000
Pt 1.008 4.672 1.409
Pt 2.657 1.008 1.409
Pt 4.672 6.322 1.409
Pt 6.322 2.657 1.409
Au 0.000 0.000 1.409
Au 3.665 3.665 1.409
```

Results
E_form, eV per atom: -0.409
SG: P4/mbm, No. 127

13.
# NaCa2In2

NaCa2In2 at its PBEsol-relaxed geometry (meta-GGA SCAN, Alexandria).

```
10
Lattice="8.939 0.000 0.000 0.000 8.939 0.000 0.000 0.000 3.715" Properties=species:S:1:pos:R:3 pbc="T T T"
Na 0.000 0.000 0.000
Na 4.470 4.470 0.000
Ca 1.587 2.882 1.858
Ca 2.882 7.352 1.858
Ca 6.057 1.587 1.858
Ca 7.352 6.057 1.858
In 1.061 5.531 0.000
In 3.408 1.061 0.000
In 5.531 7.878 0.000
In 7.878 3.408 0.000
```

Results
E_form, eV per atom: -0.416
SG: P4/mbm, No. 127

14.
# LiMnP3O9

LiMnP3O9 at its PBEsol-relaxed geometry (meta-GGA SCAN, Alexandria).

```
28
Lattice="6.365 0.000 0.000 -3.183 5.512 0.000 0.000 0.000 9.711" Properties=species:S:1:pos:R:3 pbc="T T T"
Li 0.000 0.000 0.000
Li 0.000 0.000 4.856
Mn 0.000 3.675 0.000
Mn 0.000 3.675 4.856
P 2.406 0.315 2.428
P 1.476 1.926 7.283
P 3.959 0.315 7.283
P 2.253 3.271 2.428
P 4.889 1.926 2.428
P 4.112 3.271 7.283
O -0.717 1.955 1.132
O -0.717 1.955 3.724
O -1.848 3.914 5.987
O -1.848 3.914 8.579
O 0.717 1.955 5.987
O 0.717 1.955 8.579
O -1.131 5.156 1.132
O -1.131 5.156 3.724
O 2.397 0.632 7.283
O 1.746 1.760 2.428
O 1.848 3.914 1.132
O 1.848 3.914 3.724
O 1.131 5.156 5.987
O 1.131 5.156 8.579
O 3.968 0.632 2.428
O 2.531 3.120 7.283
O 4.619 1.760 7.283
O 3.834 3.120 2.428
```

Results
SG: P-6c2, No. 188
ΔE_f (raw), kJ/mol of atoms: -231
ΔE to the lowest computed polymorph, eV/f.u.: 0.53

15.
# Be2GaFe2

Be2GaFe2 at its PBEsol-relaxed geometry (meta-GGA SCAN, Alexandria).

```
10
Lattice="5.789 0.000 0.000 0.000 5.789 0.000 0.000 0.000 2.814" Properties=species:S:1:pos:R:3 pbc="T T T"
Be 0.711 2.184 0.000
Be 2.184 5.078 0.000
Be 3.605 0.711 0.000
Be 5.078 3.605 0.000
Ga 0.000 0.000 0.000
Ga 2.895 2.895 0.000
Fe 0.985 3.879 1.407
Fe 1.910 0.985 1.407
Fe 3.879 4.804 1.407
Fe 4.804 1.910 1.407
```

Results
E_form, eV per atom: -0.118
SG: P4/mbm, No. 127

16.
# La2ZnCoO6

La2ZnCoO6 at its PBEsol-relaxed geometry (meta-GGA SCAN, Alexandria).

```
10
Lattice="2.749 1.587 4.339 -2.749 1.587 4.339 0.000 -3.174 4.339" Properties=species:S:1:pos:R:3 pbc="T T T"
La 0.000 0.000 3.238
La 0.000 0.000 9.778
Zn 0.000 0.000 6.508
Co 0.000 0.000 0.000
O -0.345 -1.669 5.398
O -1.618 -0.536 7.618
O -1.273 1.133 5.398
O 1.273 -1.133 7.618
O 1.618 0.536 5.398
O 0.345 1.669 7.618
```

Results
SG: R-3, No. 148
ΔE_f (raw), kJ/mol of atoms: -254

17.
# NiBiP2O

NiBiP2O at its PBEsol-relaxed geometry (meta-GGA SCAN, Alexandria).

```
5
Lattice="4.688 0.000 0.000 0.000 4.688 0.000 0.000 0.000 3.570" Properties=species:S:1:pos:R:3 pbc="T T T"
Ni 0.000 0.000 0.000
Bi 2.344 2.344 1.785
P 0.000 2.344 0.000
P 2.344 0.000 0.000
O 0.000 0.000 1.785
```

Results
SG: P4/mmm, No. 123
ΔE_f (raw), kJ/mol of atoms: 15

18.
# PrCdHg2

PrCdHg2 at its PBEsol-relaxed geometry (meta-GGA SCAN, Alexandria).

```
4
Lattice="0.000 3.609 3.609 3.609 0.000 3.609 3.609 3.609 0.000" Properties=species:S:1:pos:R:3 pbc="T T T"
Pr 0.000 0.000 0.000
Cd 3.609 3.609 3.609
Hg 1.804 1.804 1.804
Hg 5.413 5.413 5.413
```

Results
E_form, eV per atom: -0.556
SG: Fm-3m, No. 225

19.
# Zr2BeOs

Zr2BeOs at its PBEsol-relaxed geometry (meta-GGA SCAN, Alexandria).

```
4
Lattice="-1.596 2.242 4.718 1.596 -2.242 4.718 1.596 2.242 -4.718" Properties=species:S:1:pos:R:3 pbc="T T T"
Zr 0.000 0.000 0.000
Zr 0.000 2.242 2.154
Be 1.596 0.000 2.817
Os 0.000 0.000 4.601
```

Results
E_form, eV per atom: -0.262
SG: Imm2, No. 44

20.
# Y4FeOs

Y4FeOs at its PBEsol-relaxed geometry (meta-GGA SCAN, Alexandria).

```
6
Lattice="0.000 4.088 4.088 4.088 0.000 4.088 4.088 4.088 0.000" Properties=species:S:1:pos:R:3 pbc="T T T"
Y 3.073 3.073 3.073
Y 5.104 5.104 3.073
Y 5.104 3.073 5.104
Y 3.073 5.104 5.104
Fe 0.000 0.000 0.000
Os 6.132 6.132 6.132
```

Results
E_form, eV per atom: 1.055
SG: F-43m, No. 216